BaMgGa | GGA-PBE | optimized geometry

Its energy relative to the elements is -0.15 eV per atom.

It has space group I4mm (No. 107), with a = 3.7520 Å, b = 3.7520 Å, c = 12.8038 Å, α = 90.00°, β = 90.00° and γ = 90.00°. The asymmetric unit holds Ba at (0.0000, 0.0000, 0.0000), Mg at (0.0000, 0.0000, 0.2863) and Ga at (0.0000, 0.0000, 0.6868).

***

Ba2EuMg | GGA-PBE | optimized geometry

For the energy relative to the lowest polymorph listed for this composition, the calculation gives 0.041 eV/atom. Its energy relative to the elements is 0.05 eV per atom.

It has space group P4/mmm (No. 123), with a = 6.3845 Å, b = 6.3845 Å, c = 4.5702 Å, α = 90.00°, β = 90.00° and γ = 90.00°. The asymmetric unit holds Ba at (0.0000, 0.5000, 0.0000), Eu at (0.0000, 0.0000, 0.5000) and Mg at (0.5000, 0.5000, 0.5000).

***

SrTl2AsF6 | GGA-PBE | optimized geometry

For the uncorrected formation energy, the calculation gives -2.33 eV/atom.

It has space group P-1 (No. 2), with a = 5.1025 Å, b = 6.3328 Å, c = 7.1268 Å, α = 63.96°, β = 76.07° and γ = 86.34°. The asymmetric unit holds Sr at (0.0000, 0.0000, 0.0000), Tl at (0.2663, 0.7485, 0.5218), As at (0.5000, 0.5000, 0.0000), F at (0.1421, 0.5885, 0.1461), F at (0.1923, 0.0821, 0.6290) and F at (0.3577, 0.1689, 0.0829).

***

Pm2NdSc2 | GGA-PBE | optimized geometry

For the energy relative to the lowest polymorph listed for this composition, the calculation gives 0.455 eV/atom. Its energy relative to the elements is 0.51 eV per atom.

It has space group Fddd (No. 70, origin choice 2), with a = 5.8378 Å, b = 11.1346 Å, c = 21.3010 Å, α = 90.00°, β = 90.00° and γ = 90.00°. The asymmetric unit holds Pm at (0.1250, 0.2873, 0.1250), Nd at (0.1250, 0.1250, 0.6250) and Sc at (0.0000, 0.0000, 0.5000).

***

Tb4PmHo2 | GGA-PBE | optimized geometry

For the energy relative to the lowest polymorph listed for this composition, the calculation gives 0.095 eV/atom. Its energy relative to the elements is 0.13 eV per atom.

It has space group P2_1/m (No. 11), with a = 6.1211 Å, b = 6.5643 Å, c = 11.5335 Å, α = 90.00°, β = 104.27° and γ = 90.00°. The asymmetric unit holds Tb at (0.1482, 0.0070, 0.2883), Tb at (0.2120, 0.2500, 0.5720), Tb at (0.3491, 0.7500, 0.8400), Pm at (0.4668, 0.7500, 0.1417), Ho at (0.1033, 0.2500, 0.9955) and Ho at (0.3499, 0.7500, 0.5535).

***

LiNd2Sb3Pt4 | GGA-PBE | optimized geometry

For the uncorrected formation energy, the calculation gives -0.87 eV/atom.

It has space group P-4m2 (No. 115), with a = 4.5433 Å, b = 4.5433 Å, c = 10.5648 Å, α = 90.00°, β = 90.00° and γ = 90.00°. The asymmetric unit holds Li at (0.0000, 0.0000, 0.0000), Nd at (0.0000, 0.5000, 0.7394), Sb at (0.0000, 0.5000, 0.3642), Sb at (0.5000, 0.5000, 0.0000), Pt at (0.0000, 0.0000, 0.5000), Pt at (0.0000, 0.5000, 0.1216) and Pt at (0.5000, 0.5000, 0.5000).

***

RbLiTmI5 | GGA-PBE | optimized geometry

For the uncorrected formation energy, the calculation gives -1.35 eV/atom.

It has space group C2/c (No. 15), with a = 10.1152 Å, b = 13.7338 Å, c = 11.3824 Å, α = 90.00°, β = 113.03° and γ = 90.00°. The asymmetric unit holds Rb at (0.0000, 0.1509, 0.2500), Li at (0.0000, 0.1922, 0.7500), Tm at (0.0000, 0.5000, 0.0000), I at (0.0000, 0.4243, 0.2500), I at (0.1085, 0.3016, 0.6041) and I at (0.1966, 0.0669, 0.9319).

***

Rb2UCr2Te6 | GGA-PBE | optimized geometry

For the uncorrected formation energy, the calculation gives -0.59 eV/atom.

It has space group C2/m (No. 12), with a = 7.1082 Å, b = 12.4095 Å, c = 9.0839 Å, α = 90.00°, β = 103.81° and γ = 90.00°. The asymmetric unit holds Rb at (0.0000, 0.1596, 0.0000), U at (0.0000, 0.0000, 0.5000), Cr at (0.0000, 0.3331, 0.5000), Te at (0.1939, 0.5000, 0.6839) and Te at (0.2355, 0.1791, 0.6824).